[1]
# Tb4PmNdSe8 | Alexandria | GGA-PBE | relaxed
# ΔE_f (raw), eV/atom: -1.724
data_Tb4PmNdSe8
_chemical_formula_sum 'Tb12 Pm3 Nd3 Se24'
_cell_length_a 8.5090
_cell_length_b 8.5090
_cell_length_c 20.9835
_cell_angle_alpha 90.00
_cell_angle_beta 90.00
_cell_angle_gamma 120.00
_symmetry_space_group_name_H-M 'R 3 m'
_symmetry_Int_Tables_number 160
_symmetry_space_group_name_Hall 'R 3 -2"'
loop_
_atom_site_label
_atom_site_type_symbol
_atom_site_fract_x
_atom_site_fract_y
_atom_site_fract_z
Tb1 Tb 0.0000 0.0000 0.0000
Tb2 Tb 0.1676 0.3352 0.4588
Pm1 Pm 0.0000 0.0000 0.6264
Nd1 Nd 0.0000 0.0000 0.2519
Se1 Se 0.0000 0.0000 0.3869
Se2 Se 0.0000 0.0000 0.8680
Se3 Se 0.0145 0.5072 0.3801
Se4 Se 0.1781 0.3562 0.2036

***

[2]
# NaLiO2 | Alexandria | GGA-PBE | relaxed
# ΔE_f (raw), eV/atom: -1.142
data_NaLiO2
_chemical_formula_sum 'Na2 Li2 O4'
_cell_length_a 3.458
_cell_length_b 4.355
_cell_length_c 6.049
_cell_angle_alpha 90.00
_cell_angle_beta 90.00
_cell_angle_gamma 90.00
_symmetry_space_group_name_H-M 'A m m 2'
_symmetry_Int_Tables_number 38
loop_
_symmetry_equiv_pos_as_xyz
'x,y,z'
'-x,-y,z'
'-x,y,z'
'x,-y,z'
'x,y+1/2,z+1/2'
'-x,-y+1/2,z+1/2'
'-x,y+1/2,z+1/2'
'x,-y+1/2,z+1/2'
loop_
_atom_site_label
_atom_site_type_symbol
_atom_site_fract_x
_atom_site_fract_y
_atom_site_fract_z
Na1 Na 0.000 0.000 0.000
Li1 Li 0.500 0.000 0.441
O1 O 0.500 0.176 0.729

***

[3]
# LaHf2AlI | Alexandria | GGA-PBE | relaxed
# ΔE_f (raw), eV/atom: 0.712
data_LaHf2AlI
_chemical_formula_sum 'La1 Hf2 Al1 I1'
_cell_length_a 5.161
_cell_length_b 5.161
_cell_length_c 5.572
_cell_angle_alpha 90.00
_cell_angle_beta 90.00
_cell_angle_gamma 90.00
_symmetry_space_group_name_H-M 'P 4/m m m'
_symmetry_Int_Tables_number 123
_symmetry_space_group_name_Hall '-P 4 2'
loop_
_atom_site_label
_atom_site_type_symbol
_atom_site_fract_x
_atom_site_fract_y
_atom_site_fract_z
La1 La 0.000 0.000 0.000
Hf1 Hf 0.000 0.500 0.500
Al1 Al 0.500 0.500 0.500
I1 I 0.500 0.500 0.000